A plane-wave DFT calculation with GGA+U was carried out for a relaxed MnGePtO6 crystal.

Output
VASP energy = -6.380 eV/atom
crystal system = trigonal

Lattice parameters (Å, degrees): 5.0691 5.0691 8.7943 90.00 90.00 120.00
Closest atoms and distances in Å follow each position.
Atoms (fractional coordinates):
Mn (0.0000, 0.0000, 0.0000)  6 O 2.11
Mn (0.0000, 0.0000, 0.5000)  6 O 2.11
Ge (0.3333, 0.6667, 0.2500)  6 O 1.92
Ge (0.6667, 0.3333, 0.7500)  6 O 1.92
Pt (0.3333, 0.6667, 0.7500)  6 O 1.99
Pt (0.6667, 0.3333, 0.2500)  6 O 1.99
O (0.0114, 0.3555, 0.1305)  1 Ge 1.92, 1 Pt 1.99, 1 Mn 2.11
O (0.0114, 0.6559, 0.3695)  1 Ge 1.92, 1 Pt 1.99, 1 Mn 2.11
O (0.3441, 0.3555, 0.3695)  1 Ge 1.92, 1 Pt 1.99, 1 Mn 2.11
O (0.3441, 0.9886, 0.1305)  1 Ge 1.92, 1 Pt 1.99, 1 Mn 2.11
O (0.3555, 0.0114, 0.6305)  1 Ge 1.92, 1 Pt 1.99, 1 Mn 2.11
O (0.3555, 0.3441, 0.8695)  1 Ge 1.92, 1 Pt 1.99, 1 Mn 2.11
O (0.6445, 0.6559, 0.1305)  1 Ge 1.92, 1 Pt 1.99, 1 Mn 2.11
O (0.6445, 0.9886, 0.3695)  1 Ge 1.92, 1 Pt 1.99, 1 Mn 2.11
O (0.6559, 0.0114, 0.8695)  1 Ge 1.92, 1 Pt 1.99, 1 Mn 2.11
O (0.6559, 0.6445, 0.6305)  1 Ge 1.92, 1 Pt 1.99, 1 Mn 2.11
O (0.9886, 0.3441, 0.6305)  1 Ge 1.92, 1 Pt 1.99, 1 Mn 2.11
O (0.9886, 0.6445, 0.8695)  1 Ge 1.92, 1 Pt 1.99, 1 Mn 2.11